P:
Computed, not measured: a relaxed BeNi2Br crystal at the PBE-GGA level of DFT.

a = 3.1031 Å, b = 3.1031 Å, c = 5.5242 Å
α = 90.00°, β = 90.00°, γ = 90.00°
Space group P4mm (No. 99)
Unique sites:
Be (0.0000, 0.0000, 0.0000) x1
Ni (0.0000, 0.0000, 0.6252) x1
Ni (0.5000, 0.5000, 0.8975) x1
Br (0.5000, 0.5000, 0.3533) x1

Summary:
For the spin magnetization, the calculation gives 0.277 μB per formula unit. The value obtained for the volume is 13.3 Å³/atom.

Q:
Computed, not measured: a relaxed BeNi2Br crystal at the PBE-GGA level of DFT.

a = 3.4926 Å, b = 3.4926 Å, c = 8.2125 Å
α = 90.00°, β = 90.00°, γ = 90.00°
Space group I-4m2 (No. 119)
Unique sites:
Be (0.0000, 0.0000, 0.0000) x2
Ni (0.0000, 0.0000, 0.5000) x2
Ni (0.0000, 0.5000, 0.2500) x2
Br (0.0000, 0.5000, 0.7500) x2

Summary:
For the spin magnetization, the calculation gives 0.000 μB per formula unit. The value obtained for the volume is 12.5 Å³/atom.

Which of them is the least stable? Correct choice: Q.

P:
Computed, not measured: a relaxed Y2ReRu crystal at the PBE-GGA level of DFT.

a = 8.8485 Å, b = 3.1868 Å, c = 5.9153 Å
α = 90.00°, β = 99.73°, γ = 90.00°
Space group C2/m (No. 12)
Unique sites:
Y (0.2470, 0.0000, 0.2462) x4
Re (0.0000, 0.0000, 0.5000) x2
Ru (0.0000, 0.5000, 0.0000) x2

Summary:
For the spin magnetization, the calculation gives 0.000 μB per formula unit. The value obtained for the volume is 20.6 Å³/atom.

Q:
Computed, not measured: a relaxed Y2ReRu crystal at the PBE-GGA level of DFT.

a = 3.4517 Å, b = 4.4853 Å, c = 5.1466 Å
α = 90.00°, β = 90.00°, γ = 90.00°
Space group Pmmm (No. 47)
Unique sites:
Y (0.0000, 0.0000, 0.0000) x1
Y (0.5000, 0.0000, 0.5000) x1
Re (0.0000, 0.5000, 0.5000) x1
Ru (0.5000, 0.5000, 0.0000) x1

Summary:
For the spin magnetization, the calculation gives 0.001 μB per formula unit. The value obtained for the volume is 19.9 Å³/atom.

Which of them is the least stable? Correct choice: P.

P:
Computed, not measured: a relaxed BeHgOs2 crystal at the PBE-GGA level of DFT.

a = 3.0005 Å, b = 4.4512 Å, c = 8.5793 Å
α = 90.00°, β = 90.00°, γ = 90.00°
Space group Imm2 (No. 44)
Unique sites:
Be (0.0000, 0.0000, 0.0000) x2
Hg (0.0000, 0.5000, 0.7347) x2
Os (0.0000, 0.0000, 0.5215) x2
Os (0.0000, 0.5000, 0.2860) x2

Summary:
For the spin magnetization, the calculation gives 0.000 μB per formula unit. The value obtained for the volume is 14.3 Å³/atom.

Q:
Computed, not measured: a relaxed BeHgOs2 crystal at the PBE-GGA level of DFT.

a = 5.3719 Å, b = 9.3294 Å, c = 2.7777 Å
α = 90.00°, β = 119.55°, γ = 90.00°
Space group C2/m (No. 12)
Unique sites:
Be (0.0000, 0.0000, 0.0000) x2
Hg (0.0000, 0.5000, 0.0000) x2
Os (0.2500, 0.2500, 0.5000) x4

Summary:
For the spin magnetization, the calculation gives 0.000 μB per formula unit. The value obtained for the volume is 15.1 Å³/atom.

Which of them is the least stable? Correct choice: Q.

P:
Computed, not measured: a relaxed LaAg2Pt crystal at the PBE-GGA level of DFT.

a = 3.0245 Å, b = 3.0245 Å, c = 30.9951 Å
α = 90.00°, β = 90.00°, γ = 120.00°
Space group R-3m (No. 166, hexagonal axes)
Unique sites:
La (0.0000, 0.0000, 0.0000) x3
Ag (0.0000, 0.0000, 0.2408) x6
Pt (0.0000, 0.0000, 0.5000) x3

Summary:
For the spin magnetization, the calculation gives 0.848 μB per formula unit. The value obtained for the volume is 20.5 Å³/atom.

Q:
Computed, not measured: a relaxed LaAg2Pt crystal at the PBE-GGA level of DFT.

a = 4.1804 Å, b = 4.1948 Å, c = 9.6729 Å
α = 90.00°, β = 90.00°, γ = 90.00°
Space group Immm (No. 71)
Unique sites:
La (0.0000, 0.0000, 0.0000) x2
Ag (0.0000, 0.5000, 0.2496) x4
Pt (0.0000, 0.0000, 0.5000) x2

Summary:
For the spin magnetization, the calculation gives 0.000 μB per formula unit. The value obtained for the volume is 21.2 Å³/atom.

Which of them is the least stable? Correct choice: P.

P:
Computed, not measured: a relaxed Si2HgI crystal at the PBE-GGA level of DFT.

a = 5.2844 Å, b = 6.5068 Å, c = 8.0810 Å
α = 66.78°, β = 74.28°, γ = 84.20°
Space group P1 (No. 1)
Unique sites:
Si (0.0000, 0.0000, 0.0000) x1
Si (0.1744, 0.9434, 0.5766) x1
Si (0.4072, 0.0041, 0.7792) x1
Si (0.8093, 0.8360, 0.8463) x1
Hg (0.0979, 0.8416, 0.3167) x1
Hg (0.8729, 0.4101, 0.9416) x1
I (0.2048, 0.3456, 0.3152) x1
I (0.5319, 0.4206, 0.6492) x1

Summary:
For the spin magnetization, the calculation gives 0.000 μB per formula unit. The value obtained for the volume is 30.7 Å³/atom.

Q:
Computed, not measured: a relaxed Si2HgI crystal at the PBE-GGA level of DFT.

a = 9.3548 Å, b = 11.2252 Å, c = 5.1660 Å
α = 90.00°, β = 103.60°, γ = 90.00°
Space group C2/m (No. 12)
Unique sites:
Si (0.0000, 0.1582, 0.0000) x4
Si (0.0504, 0.0000, 0.3136) x4
Hg (0.2500, 0.2500, 0.0000) x4
I (0.1806, 0.5000, 0.4344) x4

Summary:
For the spin magnetization, the calculation gives 0.000 μB per formula unit. The value obtained for the volume is 33.0 Å³/atom.

Which of them is the least stable? Correct choice: P.

P:
Computed, not measured: a relaxed Ce2TlH crystal at the PBE-GGA level of DFT.

a = 3.4326 Å, b = 3.4326 Å, c = 25.7770 Å
α = 90.00°, β = 90.00°, γ = 120.00°
Space group R-3m (No. 166, hexagonal axes)
Unique sites:
Ce (0.0000, 0.0000, 0.2256) x6
Tl (0.0000, 0.0000, 0.0000) x3
H (0.0000, 0.0000, 0.5000) x3

Summary:
For the spin magnetization, the calculation gives 1.207 μB per formula unit. The value obtained for the volume is 21.9 Å³/atom.

Q:
Computed, not measured: a relaxed Ce2TlH crystal at the PBE-GGA level of DFT.

a = 5.8099 Å, b = 3.3548 Å, c = 9.0631 Å
α = 90.00°, β = 102.40°, γ = 90.00°
Space group Cm (No. 8)
Unique sites:
Ce (0.0000, 0.0000, 0.0000) x2
Ce (0.2142, 0.0000, 0.6436) x2
Tl (0.2739, 0.5000, 0.3226) x2
H (0.1072, 0.5000, 0.8225) x2

Summary:
For the spin magnetization, the calculation gives 1.207 μB per formula unit. The value obtained for the volume is 21.6 Å³/atom.

Which of them is the least stable? Correct choice: Q.

P:
Computed, not measured: a relaxed MgBeIn2 crystal at the PBE-GGA level of DFT.

a = 3.2850 Å, b = 3.2850 Å, c = 26.3883 Å
α = 90.00°, β = 90.00°, γ = 120.00°
Space group R-3m (No. 166, hexagonal axes)
Unique sites:
Mg (0.0000, 0.0000, 0.0000) x3
Be (0.0000, 0.0000, 0.5000) x3
In (0.0000, 0.0000, 0.2407) x6

Summary:
For the spin magnetization, the calculation gives 0.000 μB per formula unit. The value obtained for the volume is 20.6 Å³/atom.

Q:
Computed, not measured: a relaxed MgBeIn2 crystal at the PBE-GGA level of DFT.

a = 3.5233 Å, b = 4.2321 Å, c = 5.8525 Å
α = 90.00°, β = 103.77°, γ = 90.00°
Space group P2/m (No. 10)
Unique sites:
Mg (0.0000, 0.0000, 0.0000) x1
Be (0.0000, 0.0000, 0.5000) x1
In (0.3516, 0.5000, 0.7263) x2

Summary:
For the spin magnetization, the calculation gives 0.000 μB per formula unit. The value obtained for the volume is 21.2 Å³/atom.

Which of them is the least stable? Correct choice: Q.

P:
Computed, not measured: a relaxed Na2SiAu2 crystal at the PBE-GGA level of DFT.

a = 6.5408 Å, b = 12.4726 Å, c = 6.1944 Å
α = 90.00°, β = 90.00°, γ = 90.00°
Space group Ibam (No. 72)
Unique sites:
Na (0.1668, 0.1469, 0.0000) x8
Si (0.0000, 0.5000, 0.2500) x4
Au (0.1994, 0.3893, 0.0000) x8

Summary:
For the spin magnetization, the calculation gives 0.000 μB per formula unit. The value obtained for the volume is 25.3 Å³/atom.

Q:
Computed, not measured: a relaxed Na2SiAu2 crystal at the PBE-GGA level of DFT.

a = 9.8998 Å, b = 5.8715 Å, c = 7.7221 Å
α = 90.00°, β = 100.24°, γ = 90.00°
Space group C2/c (No. 15)
Unique sites:
Na (0.1520, 0.1174, 0.1552) x8
Si (0.0000, 0.4008, 0.7500) x4
Au (0.1256, 0.3627, 0.4964) x8

Summary:
For the spin magnetization, the calculation gives 0.000 μB per formula unit. The value obtained for the volume is 22.1 Å³/atom.

Which of them is the least stable? Correct choice: P.